(1)
The following is a DFT calculation (PBE) of a relaxed CsBi4Au2 crystal.

Cell: 9.6539 9.6539 4.7540 Å, 90.00 90.00 90.00°
Last column: nearest neighbours and their distance in Å.
Space group P4_2/mnm (No. 136)
Inequivalent atoms, fractional coordinates:
Cs1 0.0000 0.0000 0.0000 (multiplicity 2)  6 Au 3.81-3.84, 8 Bi 4.05
Bi1 0.0903 0.3275 0.5000 (multiplicity 8)  3 Au 3.03-3.17, 1 Bi 3.24
Au1 0.2207 0.7793 0.5000 (multiplicity 4)  6 Bi 3.03-3.17

Properties
size of the total moment	0.000	μB per atom
DOS at the Fermi energy	2.67	states/eV per cell
formation enthalpy at 0 K	-143	meV/atom
excess energy over the best structure of this formula in the dataset	0.000	eV/atom
E_tot	-3.42	eV per atom

***

(2)
The following is a DFT calculation (PBE) of a relaxed Ac5Se5O2 crystal.

Cell: 14.1171 4.2177 11.7426 Å, 90.00 105.53 90.00°
Last column: nearest neighbours and their distance in Å.
Space group C2/m (No. 12)
Inequivalent atoms, fractional coordinates:
Ac1 0.0000 0.0000 0.0000 (multiplicity 2)  2 O 2.58
Ac2 0.1011 0.0000 0.3766 (multiplicity 4)  1 O 2.47
Ac3 0.1575 0.5000 0.7938 (multiplicity 4)  2 O 2.68
Se1 0.0000 0.5000 0.5000 (multiplicity 2)  4 Ac 3.11
Se2 0.1653 0.5000 0.0666 (multiplicity 4)  5 Ac 3.09-3.35, 1 Se 3.38
Se3 0.2378 0.0000 0.6372 (multiplicity 4)  5 Ac 3.14-3.20, 1 Se 3.38
O1 0.0421 0.0000 0.7990 (multiplicity 4)  4 Ac 2.47-2.68

Properties
size of the total moment	0.000	μB per atom
uncorrected formation energy	-2.334	eV per atom
DOS at the Fermi energy	3.51	states/eV per cell
E_tot	-6.32	eV per atom

***

(3)
The following is a DFT calculation (PBE) of a relaxed AcPmO crystal.

Cell: 3.8058 3.8058 6.3290 Å, 90.00 90.00 120.00°
Last column: nearest neighbours and their distance in Å.
Space group P3m1 (No. 156)
Inequivalent atoms, fractional coordinates:
Ac1 0.0000 0.0000 0.0000 (multiplicity 1)  3 O 2.74
Pm1 0.3333 0.6667 0.4503 (multiplicity 1)  3 O 2.51
O1 0.6667 0.3333 0.2598 (multiplicity 1)  3 Pm 2.51, 3 Ac 2.74

Properties
size of the total moment	0.037	μB per atom
uncorrected formation energy	-1.602	eV per atom
DOS at the Fermi energy	2.16	states/eV per cell
E_tot	-6.21	eV per atom

***

(4)
The following is a DFT calculation (PBE) of a relaxed La8ThMg2 crystal.

Cell: 17.9997 5.2989 8.3761 Å, 90.00 109.39 90.00°
Last column: nearest neighbours and their distance in Å.
Space group C2/m (No. 12)
Inequivalent atoms, fractional coordinates:
La1 0.0465 0.0000 0.2399 (multiplicity 4)  9 La 3.56-3.85, 1 Mg 3.62, 2 Th 3.70
La2 0.0952 0.5000 0.9561 (multiplicity 4)  3 Mg 3.51-3.55, 1 Th 3.63, 8 La 3.67-3.90
La3 0.1376 0.0000 0.6877 (multiplicity 4)  3 Mg 3.51-3.60, 7 La 3.56-3.74, 2 Th 3.61
La4 0.1845 0.5000 0.4483 (multiplicity 4)  1 Mg 3.37, 7 La 3.46-3.74, 1 Th 3.49
Th1 0.0000 0.5000 0.5000 (multiplicity 2)  12 La 3.49-3.70
Mg1 0.2246 0.0000 0.1294 (multiplicity 4)  8 La 3.37-3.62, 2 Mg 3.72

Properties
size of the total moment	0.000	μB per atom
DOS at the Fermi energy	32.59	states/eV per cell
formation enthalpy at 0 K	-4	meV/atom
E_tot	-4.55	eV per atom

***

(5)
The following is a DFT calculation (PBE) of a relaxed Nd4As crystal.

Cell: 5.7076 5.7076 5.7076 Å, 90.00 90.00 90.00°
Last column: nearest neighbours and their distance in Å.
Space group Pm-3m (No. 221)
Inequivalent atoms, fractional coordinates:
Nd1 0.0000 0.0000 0.0000 (multiplicity 1)  12 Nd 4.04
Nd2 0.0000 0.5000 0.5000 (multiplicity 3)  2 As 2.85
As1 0.5000 0.5000 0.5000 (multiplicity 1)  6 Nd 2.85

Properties
size of the total moment	0.000	μB per atom
DOS at the Fermi energy	9.30	states/eV per cell
formation enthalpy at 0 K	-302	meV/atom
E_tot	-5.05	eV per atom

***

(6)
The following is a DFT calculation (PBE) of a relaxed KBeSe2 crystal.

Cell: 4.1126 4.1126 10.5373 Å, 90.00 90.00 90.00°
Last column: nearest neighbours and their distance in Å.
Space group I-4m2 (No. 119)
Inequivalent atoms, fractional coordinates:
K1 0.0000 0.0000 0.0000 (multiplicity 2)  4 Se 2.91
Be1 0.0000 0.5000 0.2500 (multiplicity 2)  4 Se 2.91
Se1 0.0000 0.0000 0.5000 (multiplicity 2)  4 K 2.91
Se2 0.0000 0.5000 0.7500 (multiplicity 2)  4 Be 2.91

Properties
size of the total moment	0.000	μB per atom
uncorrected formation energy	0.277	eV per atom
DOS at the Fermi energy	6.38	states/eV per cell
E_tot	-2.67	eV per atom

***

Which formula does entry 4 have?
La8ThMg2